Density functional theory data (PBE) for PmPrTmTh2 after structural relaxation.

Cell lengths 6.7227, 6.7146, 8.5425 Å; angles 113.14, 90.00, 90.00 degrees
Sites, in units of the cell vectors:
Pr1 0.2500 0.2528 0.5057
Pr2 0.7500 0.7472 0.4943
Th1 0.5000 0.2520 0.0000
Th2 0.5000 0.7480 0.0000
Th3 0.0000 0.7480 0.0000
Th4 0.0000 0.2520 0.0000
Pm1 0.7500 0.1518 0.3037
Pm2 0.2500 0.8482 0.6963
Tm1 0.7500 0.3498 0.6996
Tm2 0.2500 0.6502 0.3004

Calculated values
As for the total energy: -5.40 eV per atom. The total magnetization is 0.00 Bohr magnetons per cell.